# 1
Crystalline BeHPt2 at its relaxed geometry. Source: Alexandria, functional GGA-PBEsol.

Structure (POSCAR):
```
BeHPt2
1.0
4.799 -0.022 0.000
-1.846 4.430 0.000
-1.477 -2.204 3.999
Pt H Be
4 2 2
direct
0.809 0.375 0.934
0.625 0.559 0.434
0.125 0.191 0.566
0.441 0.875 0.066
0.500 0.500 0.000
0.750 0.250 0.500
0.250 0.750 0.500
0.000 0.000 0.000
```

# 2
Crystalline BeH2Pt at its relaxed geometry. Source: Alexandria, functional GGA-PBEsol.

Structure (POSCAR):
```
BeH2Pt
1.0
3.498 0.000 0.000
1.749 3.030 0.000
1.749 1.010 2.856
Pt H Be
1 2 1
direct
0.500 0.500 0.500
0.250 0.250 0.250
0.750 0.750 0.750
0.000 0.000 0.000
```

# 3
Crystalline Rb2BeH at its relaxed geometry. Source: Alexandria, functional GGA-PBEsol.

Structure (POSCAR):
```
Rb2BeH
1.0
5.658 0.000 0.000
2.829 4.900 0.000
2.829 1.633 4.620
Rb Be H
2 1 1
direct
0.750 0.750 0.750
0.250 0.250 0.250
0.500 0.500 0.500
0.000 0.000 0.000
```

# 4
Crystalline Rb3BeH at its relaxed geometry. Source: Alexandria, functional GGA-PBEsol.

Structure (POSCAR):
```
Rb3BeH
1.0
5.678 0.000 0.000
0.000 5.678 0.000
0.000 0.000 5.678
Rb Be H
3 1 1
direct
0.500 0.000 0.000
0.000 0.500 0.000
0.000 0.000 0.500
0.500 0.500 0.500
0.000 0.000 0.000
```

# 5
Crystalline RbBeH2Rh at its relaxed geometry. Source: Alexandria, functional GGA-PBEsol.

Structure (POSCAR):
```
RbBeH2Rh
1.0
-2.957 -0.770 -2.211
0.716 -3.689 0.327
-3.205 -0.235 4.368
Rh H Rb Be
1 2 1 1
direct
0.000 0.000 0.000
0.000 0.500 0.000
0.500 0.000 0.000
0.000 0.000 0.500
0.500 0.500 0.500
```

# 6
Crystalline SrBe2ReH at its relaxed geometry. Source: Alexandria, functional GGA-PBEsol.

Structure (POSCAR):
```
SrBe2ReH
1.0
3.438 0.000 0.000
0.000 4.443 0.000
0.000 0.000 4.443
H Re Be Sr
1 1 2 1
direct
0.000 0.000 0.000
0.500 0.000 0.000
0.000 0.000 0.500
0.000 0.500 0.000
0.500 0.500 0.500
```

# 7
Crystalline Be3HRh at its relaxed geometry. Source: Alexandria, functional GGA-PBEsol.

Structure (POSCAR):
```
Be3HRh
1.0
-2.644 0.113 2.121
-0.172 -3.387 -0.034
2.117 -0.134 2.646
Be Rh H
3 1 1
direct
0.000 0.500 0.000
0.000 0.000 0.500
0.500 0.000 0.000
0.500 0.500 0.500
0.000 0.000 0.000
```

# 8
Crystalline BeH3Ru at its relaxed geometry. Source: Alexandria, functional GGA-PBEsol.

Structure (POSCAR):
```
BeH3Ru
1.0
-1.796 -0.062 2.487
-0.452 -3.009 -0.402
2.447 -0.601 1.752
H Ru Be
3 1 1
direct
0.500 0.000 0.000
0.000 0.500 0.000
0.000 0.000 0.500
0.500 0.500 0.500
0.000 0.000 0.000
```

# 9
Crystalline ScBeH2S at its relaxed geometry. Source: Alexandria, functional GGA-PBEsol.

Structure (POSCAR):
```
ScBeH2S
1.0
3.586 0.000 0.000
0.000 3.586 0.000
0.000 0.000 5.135
Sc Be H S
1 1 2 1
direct
0.000 0.000 0.500
0.500 0.500 0.500
0.000 0.500 0.000
0.500 0.000 0.000
0.000 0.000 0.000
```

# 10
Crystalline Sc2BeH2 at its relaxed geometry. Source: Alexandria, functional GGA-PBEsol.

Structure (POSCAR):
```
Sc2BeH2
1.0
-1.584 1.007 2.679
0.988 -2.681 1.592
4.744 3.452 -0.490
H Be Sc
2 1 2
direct
0.250 0.750 0.500
0.750 0.250 0.500
0.000 0.000 0.000
0.356 0.356 0.712
0.644 0.644 0.288
```

# 11
Crystalline ScBe3H at its relaxed geometry. Source: Alexandria, functional GGA-PBEsol.

Structure (POSCAR):
```
ScBe3H
1.0
5.059 0.000 0.000
0.000 5.059 0.000
0.000 0.000 5.059
H Be Sc
1 3 1
direct
0.500 0.500 0.500
0.000 0.500 0.000
0.500 0.000 0.000
0.000 0.000 0.500
0.000 0.000 0.000
```

# 12
Crystalline Be3HSe at its relaxed geometry. Source: Alexandria, functional GGA-PBEsol.

Structure (POSCAR):
```
Be3HSe
1.0
4.285 0.000 0.000
0.000 4.285 0.000
0.000 0.000 4.285
Be H Se
3 1 1
direct
0.000 0.500 0.000
0.500 0.000 0.000
0.000 0.000 0.500
0.500 0.500 0.500
0.000 0.000 0.000
```

Record order is preserved below.
DOS(E_F): 1.82, 0.95, 2.29, 4.46, 1.86, 2.95, 1.34, 1.65, 3.96, 1.69, 5.80, 2.62 states/eV/f.u.
Record order is preserved below.
Total energy: -5.4743, -3.9935, -1.5430, -1.5896, -2.7176, -4.3743, -4.9277, -4.3439, -3.8409, -5.1955, -2.0167, -2.3647 eV/atom